(1)
Computed, not measured: YPuMo4 after structural relaxation at the GGA-PBE level of DFT.

Properties
Spin magnetization in μB per cell: 5.0
DFT formation energy in eV per atom: 0.2365
SG: No. 216

a b c (Å): 5.497 5.497 5.497
angles (deg): 60.00 60.00 60.00
Last column: magnetic moment on the atom in μB.
Fractional positions:
Y1 0.250 0.250 0.250  0.02
Mo1 0.124 0.625 0.625  -0.07
Mo2 0.625 0.124 0.625  -0.07
Mo3 0.625 0.625 0.124  -0.07
Mo4 0.625 0.625 0.625  -0.07
Pu1 0.000 0.000 0.000  4.98



(2)
Computed, not measured: CePmEuSn after structural relaxation at the GGA-PBE level of DFT.

Properties
Spin magnetization in μB per cell: 8.9
DFT formation energy in eV per atom: -0.2259
SG: No. 216

a b c (Å): 5.548 5.548 5.548
angles (deg): 60.00 60.00 60.00
Last column: magnetic moment on the atom in μB.
Fractional positions:
Ce1 0.500 0.500 0.500  1.00
Eu1 0.750 0.750 0.750  7.01
Pm1 0.000 0.000 0.000  0.17
Sn1 0.250 0.250 0.250  -0.05



(3)
Computed, not measured: CsZn3Si after structural relaxation at the GGA-PBE level of DFT.

Properties
Spin magnetization in μB per cell: 3.0
Formation energy (no corrections) in eV/atom: 1.32
SG: No. 221
E above lowest polymorph in meV/atom: 1018

a b c (Å): 6.896 6.896 6.896
angles (deg): 90.00 90.00 90.00
Last column: magnetic moment on the atom in μB.
Fractional positions:
Si1 0.500 0.500 0.500  0.61
Zn1 0.500 0.000 0.000  0.03
Zn2 0.000 0.000 0.500  0.02
Zn3 0.000 0.500 0.000  0.03
Cs1 0.000 0.000 0.000  0.01



(4)
Computed, not measured: LiPrPu2S4 after structural relaxation at the GGA-PBE level of DFT.

Properties
Spin magnetization in μB per cell: 11.3
Formation energy (no corrections) in eV/atom: -1.74
SG: No. 10

a b c (Å): 4.006 6.895 6.917
angles (deg): 109.68 90.00 90.00
Last column: magnetic moment on the atom in μB.
Fractional positions:
S1 0.000 0.254 0.747  -0.08
S2 0.500 0.741 0.742  -0.07
S3 0.000 0.746 0.253  -0.08
S4 0.500 0.259 0.258  -0.07
Li1 0.500 0.500 0.000  0.00
Pu1 0.500 0.000 0.500  5.35
Pu2 0.000 0.500 0.500  5.30
Pr1 0.000 0.000 0.000  0.13



(5)
Computed, not measured: ThGeRu3 after structural relaxation at the GGA-PBE level of DFT.

Properties
Spin magnetization in μB per cell: 0.0
DFT formation energy in eV per atom: 0.1442
SG: No. 119

a b c (Å): 5.031 5.031 9.232
angles (deg): 105.81 105.81 90.00
Fractional positions:
Ru1 0.734 0.734 0.468
Ru2 0.137 0.878 0.755
Ru3 0.122 0.382 0.245
Ru4 0.266 0.266 0.532
Ru5 0.122 0.863 0.245
Ru6 0.618 0.878 0.755
Ge1 0.250 0.750 0.500
Ge2 0.000 0.000 0.000
Th1 0.630 0.130 0.260
Th2 0.870 0.370 0.740



(6)
Computed, not measured: Co2P2N after structural relaxation at the GGA-PBE level of DFT.

Properties
Spin magnetization in μB per cell: 0.0
Formation energy (no corrections) in eV/atom: -0.05
SG: No. 8
E above lowest polymorph in meV/atom: 210

a b c (Å): 4.301 3.425 8.724
angles (deg): 90.00 101.63 90.00
Fractional positions:
Co1 0.596 0.500 0.000
Co2 0.596 0.000 0.500
Co3 0.438 0.500 0.688
Co4 0.438 0.000 0.188
P1 0.430 0.500 0.325
P2 0.914 0.000 0.066
P3 0.430 0.000 0.825
P4 0.914 0.500 0.566
N1 0.230 0.000 0.974
N2 0.230 0.500 0.474